1.
Below is a relaxed Be2SiHg crystal, with properties calculated at the GGA-PBEsol level.

Cell lengths 2.843, 3.399, 5.525 Å; angles 90.00, 90.03, 90.00 degrees
Fractional coordinates of all 4 atoms:
Be  0.999  0.000  0.304
Be  0.001  0.000  0.696
Si  0.500  0.500  0.500
Hg  0.500  0.500  0.000

Calculated values
For the raw formation energy, the calculation gives 0.423 eV per atom. The calculation puts the density of states at the Fermi level at 1.4 states/eV/cell. As for the crystal system: orthorhombic.

2.
Below is a relaxed Be2SiHg crystal, with properties calculated at the GGA-PBEsol level.

Cell lengths 2.914, 2.914, 7.613 Å; angles 78.97, 78.97, 60.00 degrees
Fractional coordinates of all 4 atoms:
Hg  0.500  0.500  0.500
Be  0.743  0.743  0.770
Be  0.257  0.257  0.230
Si  0.000  0.000  0.000

Calculated values
For the raw formation energy, the calculation gives 0.399 eV per atom. The calculation puts the density of states at the Fermi level at 1.2 states/eV/cell. As for the crystal system: trigonal.

3.
Below is a relaxed BeSiHg2 crystal, with properties calculated at the GGA-PBEsol level.

Cell lengths 3.182, 3.182, 8.129 Å; angles 78.71, 78.71, 60.00 degrees
Fractional coordinates of all 4 atoms:
Si  0.500  0.500  0.500
Be  0.000  0.000  0.000
Hg  0.741  0.741  0.777
Hg  0.259  0.259  0.223

Calculated values
For the raw formation energy, the calculation gives 0.420 eV per atom. The calculation puts the density of states at the Fermi level at 1.4 states/eV/cell. As for the crystal system: trigonal.

4.
Below is a relaxed Be2SiHg crystal, with properties calculated at the GGA-PBEsol level.

Cell lengths 2.787, 2.787, 6.976 Å; angles 90.00, 90.00, 89.98 degrees
Fractional coordinates of all 4 atoms:
Hg  0.500  0.500  0.500
Be  0.000  0.000  0.213
Be  0.000  0.000  0.787
Si  0.500  0.500  0.000

Calculated values
For the raw formation energy, the calculation gives 0.486 eV per atom. The calculation puts the density of states at the Fermi level at 1.2 states/eV/cell. As for the crystal system: tetragonal.

5.
Below is a relaxed Be2SiHg crystal, with properties calculated at the GGA-PBEsol level.

Cell lengths 3.593, 3.890, 3.890 Å; angles 90.00, 90.00, 90.00 degrees
Fractional coordinates of all 4 atoms:
Be  0.000  0.000  0.500
Be  0.000  0.500  0.000
Si  0.500  0.000  0.000
Hg  0.500  0.500  0.500

Calculated values
For the raw formation energy, the calculation gives 0.548 eV per atom. The calculation puts the density of states at the Fermi level at 1.2 states/eV/cell. As for the crystal system: tetragonal.

6.
Below is a relaxed BeSnHg3 crystal, with properties calculated at the GGA-PBEsol level.

Cell lengths 5.485, 5.485, 5.485 Å; angles 90.00, 90.00, 90.00 degrees
Fractional coordinates of all 5 atoms:
Sn  0.000  0.000  0.000
Hg  0.500  0.000  0.000
Hg  0.000  0.000  0.500
Hg  0.000  0.500  0.000
Be  0.500  0.500  0.500

Calculated values
As for the formation energy: 80.66 kJ/mol of atoms. The calculation puts the density of states at the Fermi level at 1.3 states/eV/cell. As for the crystal system: cubic.

7.
Below is a relaxed SrBe2Hg crystal, with properties calculated at the GGA-PBEsol level.

Cell lengths 4.293, 4.859, 4.859 Å; angles 68.38, 63.79, 63.79 degrees
Fractional coordinates of all 4 atoms:
Sr  0.000  0.500  0.500
Hg  0.500  0.000  0.000
Be  0.833  0.167  0.167
Be  0.167  0.833  0.833

Calculated values
As for the formation energy: 28.91 kJ/mol of atoms. The calculation puts the density of states at the Fermi level at 1.6 states/eV/cell. As for the crystal system: orthorhombic.

8.
Below is a relaxed TaBeHg crystal, with properties calculated at the GGA-PBEsol level.

Cell lengths 2.907, 2.907, 5.772 Å; angles 104.58, 104.58, 90.00 degrees
Fractional coordinates of all 3 atoms:
Ta  0.352  0.352  0.704
Be  0.001  0.001  0.001
Hg  0.648  0.648  0.295

Calculated values
As for the formation energy: 18.68 kJ/mol of atoms. The calculation puts the density of states at the Fermi level at 1.4 states/eV/cell. As for the crystal system: tetragonal.

9.
Below is a relaxed BeHgTe crystal, with properties calculated at the GGA-PBEsol level.

Cell lengths 4.523, 4.523, 4.523 Å; angles 60.00, 60.00, 60.00 degrees
Fractional coordinates of all 3 atoms:
Be  0.250  0.250  0.250
Te  0.500  0.500  0.500
Hg  0.000  0.000  0.000

Calculated values
For the raw formation energy, the calculation gives 0.253 eV per atom. The calculation puts the density of states at the Fermi level at 0.0 states/eV/cell. As for the crystal system: cubic.

10.
Below is a relaxed BeHgTe2 crystal, with properties calculated at the GGA-PBEsol level.

Cell lengths 6.095, 6.095, 7.309 Å; angles 114.64, 114.64, 90.00 degrees
Fractional coordinates of all 8 atoms:
Te  0.625  0.573  0.750
Te  0.823  0.375  0.250
Te  0.125  0.177  0.750
Te  0.427  0.875  0.250
Be  0.500  0.500  0.000
Be  0.750  0.250  0.500
Hg  0.000  0.000  0.000
Hg  0.250  0.750  0.500

Calculated values
For the raw formation energy, the calculation gives -0.225 eV per atom. As for the crystal system: tetragonal.

11.
Below is a relaxed BeHgTe2 crystal, with properties calculated at the GGA-PBEsol level.

Cell lengths 4.744, 5.053, 5.053 Å; angles 104.93, 109.43, 109.43 degrees
Fractional coordinates of all 4 atoms:
Be  0.500  0.500  0.500
Te  0.000  0.000  0.500
Te  0.000  0.500  0.000
Hg  0.500  0.000  0.000

Calculated values
For the raw formation energy, the calculation gives 0.349 eV per atom. The calculation puts the density of states at the Fermi level at 1.9 states/eV/cell. As for the crystal system: monoclinic.

12.
Below is a relaxed BeHgTe3 crystal, with properties calculated at the GGA-PBEsol level.

Cell lengths 5.507, 5.507, 5.507 Å; angles 90.00, 90.00, 90.00 degrees
Fractional coordinates of all 5 atoms:
Te  0.000  0.000  0.500
Te  0.000  0.500  0.000
Te  0.500  0.000  0.000
Hg  0.000  0.000  0.000
Be  0.500  0.500  0.500

Calculated values
For the raw formation energy, the calculation gives 1.156 eV per atom. The calculation puts the density of states at the Fermi level at 6.3 states/eV/cell. As for the crystal system: cubic.

13.
Below is a relaxed Ti3BeHg crystal, with properties calculated at the GGA-PBEsol level.

Cell lengths 4.888, 4.888, 4.888 Å; angles 90.00, 90.00, 90.00 degrees
Fractional coordinates of all 5 atoms:
Hg  0.000  0.000  0.000
Ti  0.000  0.500  0.000
Ti  0.500  0.000  0.000
Ti  0.000  0.000  0.500
Be  0.500  0.500  0.500

Calculated values
As for the formation energy: 141.75 kJ/mol of atoms. The calculation puts the density of states at the Fermi level at 5.4 states/eV/cell. As for the crystal system: cubic.

14.
Below is a relaxed BeTl2Hg crystal, with properties calculated at the GGA-PBEsol level.

Cell lengths 5.066, 5.066, 5.066 Å; angles 60.00, 60.00, 60.00 degrees
Fractional coordinates of all 4 atoms:
Be  0.500  0.500  0.500
Tl  0.000  0.000  0.000
Tl  0.750  0.750  0.750
Hg  0.250  0.250  0.250

Calculated values
As for the formation energy: 50.98 kJ/mol of atoms. The calculation puts the density of states at the Fermi level at 2.1 states/eV/cell. As for the crystal system: cubic.

15.
Below is a relaxed Be2TlHg crystal, with properties calculated at the GGA-PBEsol level.

Cell lengths 3.184, 3.184, 7.868 Å; angles 78.33, 78.33, 60.00 degrees
Fractional coordinates of all 4 atoms:
Hg  0.500  0.500  0.500
Be  0.244  0.244  0.268
Be  0.756  0.756  0.732
Tl  0.000  0.000  0.000

Calculated values
As for the formation energy: 54.25 kJ/mol of atoms. The calculation puts the density of states at the Fermi level at 1.3 states/eV/cell. As for the crystal system: trigonal.